First-principles (GGA-PBE) data for an optimized crystal structure of Sm12Cd2In5, as listed in Alexandria.

Cell lengths 15.9938, 8.4797, 8.8006 Å; angles 90.00, 96.74, 90.00 degrees
Last column: nearest neighbours and their distance in Å.
Space group C2/m (No. 12)
One atom of each set of equivalent atoms:
Sm  0.0384  0.0000  0.1919 x4  2 Cd 3.23, 1 In 3.28, 7 Sm 3.46-3.59
Sm  0.0516  0.5000  0.6647 x4  2 Cd 3.14, 2 In 3.16-3.34, 3 Sm 3.16-3.41
Sm  0.1396  0.2320  0.9250 x8  4 In 3.21-3.40, 3 Sm 3.41-3.59
Sm  0.1669  0.2985  0.3570 x8  3 In 3.20-3.45, 1 Cd 3.24, 3 Sm 3.42-3.54
Cd  0.0000  0.1805  0.5000 x4  2 In 2.99, 1 Cd 3.06, 6 Sm 3.14-3.24
In  0.0000  0.5000  0.0000 x2  6 Sm 3.16-3.31
In  0.1541  0.0000  0.6194 x4  2 Cd 2.99, 2 Sm 3.32
In  0.2441  0.0000  0.1999 x4  8 Sm 3.20-3.40

Summary:
Density of states at the Fermi level in states/eV per atom: 1.08
DFT formation energy in eV/atom: -0.139
Volume in A^3/atom: 31.19

***

First-principles (GGA-PBE) data for an optimized crystal structure of ZrHSeS, as listed in Alexandria.

Cell lengths 5.9587, 3.5507, 7.2079 Å; angles 90.00, 106.29, 90.00 degrees
Last column: nearest neighbours and their distance in Å.
Space group Cm (No. 8)
One atom of each set of equivalent atoms:
Zr  0.0000  0.0000  0.0000 x2  3 H 2.01-2.03
H  0.1561  0.5000  0.9802 x2  3 Zr 2.01-2.03
Se  0.2339  0.0000  0.7016 x2  3 H 2.74-2.81, 3 Zr 2.87-2.89
S  0.4120  0.0000  0.2324 x2  3 Zr 2.55-2.59, 3 H 2.63-2.69

Summary:
Density of states at the Fermi level in states/eV per atom: 0.60
Volume in A^3/atom: 18.30
Energy in eV/atom: -5.726

***

First-principles (GGA-PBE) data for an optimized crystal structure of CuAsBr2O, as listed in Alexandria.

Cell lengths 5.7447, 5.7447, 3.6573 Å; angles 90.00, 90.00, 90.00 degrees
Last column: nearest neighbours and their distance in Å.
Space group P4/mmm (No. 123)
One atom of each set of equivalent atoms:
Cu  0.0000  0.0000  0.0000 x1  8 Br 3.41, 2 Cu 3.66
As  0.5000  0.5000  0.0000 x1  2 O 1.83
Br  0.0000  0.5000  0.5000 x2  2 O 2.87
O  0.5000  0.5000  0.5000 x1  2 As 1.83

Summary:
Density of states at the Fermi level in states/eV per atom: 0.80
Volume in A^3/atom: 24.14
Energy in eV/atom: -2.931